Entry 1:
First-principles (GGA-PBE) data for YHo5As6 after structural relaxation, as listed in the Alexandria database.

a b c (Å): 7.108 7.111 7.109
angles (deg): 59.99 80.40 70.52
Positions (direct):
Y 0.000 0.000 0.000
As 0.749 0.084 0.334
As 0.251 0.582 0.334
As 0.251 0.251 0.000
As 0.749 0.749 0.000
As 0.749 0.418 0.666
As 0.251 0.916 0.666
Ho 0.500 0.166 0.667
Ho 0.000 0.333 0.334
Ho 0.500 0.500 0.000
Ho 0.000 0.667 0.666
Ho 0.500 0.834 0.333

Computed properties:
- size of the total moment (μB per atom) = 0.000
- electronic total energy (eV/atom) = -6.305
- energy of formation (meV per atom) = -1534
- space-group type = C2/m, No. 12


Entry 2:
First-principles (GGA-PBE) data for CsCoAsBr2 after structural relaxation, as listed in the Alexandria database.

a b c (Å): 5.574 5.574 4.437
angles (deg): 90.00 90.00 90.00
Positions (direct):
Cs 0.500 0.500 0.500
As 0.000 0.000 0.500
Co 0.000 0.000 0.000
Br 0.000 0.500 0.000
Br 0.500 0.000 0.000

Computed properties:
- size of the total moment (μB per atom) = 0.012
- electronic total energy (eV/atom) = -3.608
- space-group type = P4/mmm, No. 123